This record from the Alexandria database describes a relaxed structure of CsICl3. The functional is PBE.

extended XYZ file:
```
10
Lattice="5.6075 0.0000 0.0000 0.9023 8.6543 0.0000 2.3707 3.2727 8.7472" Properties=species:S:1:pos:R:3 pbc="T T T"
Cs 0.0000 0.0000 0.0000
Cs 2.9905 4.2821 2.4801
I 5.1292 8.6075 4.3322
I 6.7335 7.5896 6.8877
Cl 3.4990 2.1051 5.4011
Cl 2.8099 0.7955 2.0290
Cl 6.1123 9.6529 8.2232
Cl 5.7630 6.5510 2.9896
Cl 5.7860 3.4842 0.4408
Cl 7.4445 5.4286 5.8235
```

Computed properties:
- uncorrected formation energy (meV per atom) = -915

---

This record from the Alexandria database describes a relaxed structure of Ce5InSi2. The functional is PBE.

extended XYZ file:
```
16
Lattice="-3.8876 3.8876 7.1097 3.8876 -3.8876 7.1097 3.8876 3.8876 -7.1097" Properties=species:S:1:pos:R:3 pbc="T T T"
Ce 0.0000 0.0000 0.0000
Ce 5.2392 1.3516 -1.9942
Ce 1.3516 2.5360 -1.9942
Ce 5.2392 1.3516 1.9942
Ce 1.3516 2.5360 1.9942
Ce 0.0000 0.0000 7.1097
Ce 2.5360 1.3516 5.1155
Ce -1.3516 2.5360 5.1155
Ce 2.5360 1.3516 9.1039
Ce -1.3516 2.5360 9.1039
In 0.0000 0.0000 3.5548
In 0.0000 0.0000 10.6645
Si 2.9737 0.9139 0.0000
Si 2.9737 -0.9139 7.1097
Si 0.9139 4.8014 0.0000
Si 0.9139 2.9737 7.1097
```

Computed properties:
- uncorrected formation energy (meV per atom) = -422

---

This record from the Alexandria database describes a relaxed structure of Cr2FeCu. The functional is PBE.

extended XYZ file:
```
8
Lattice="-3.2082 3.2082 2.4087 3.2082 -3.2082 2.4087 3.2082 3.2082 -2.4087" Properties=species:S:1:pos:R:3 pbc="T T T"
Cr 1.6041 1.3625 -0.6022
Cr 1.8457 -1.6041 3.0108
Cr 1.6041 1.8457 1.8065
Cr 1.3625 4.8123 0.6022
Fe 0.0000 0.0000 0.0000
Fe 0.0000 3.2082 1.2043
Cu 3.2082 0.0000 1.2043
Cu 0.0000 0.0000 2.4087
```

Computed properties:
- DFT formation energy (meV per atom) = 670

---

This record from the Alexandria database describes a relaxed structure of Tb2ErScSe5. The functional is PBE.

extended XYZ file:
```
9
Lattice="5.0919 0.0000 0.0000 0.0000 5.0919 0.0000 0.0000 0.0000 10.2624" Properties=species:S:1:pos:R:3 pbc="T T T"
Tb 0.0000 0.0000 2.1009
Tb 0.0000 0.0000 8.1614
Er 2.5460 2.5460 0.0000
Sc 2.5460 2.5460 5.1312
Se 0.0000 0.0000 5.1312
Se 0.0000 2.5460 0.0000
Se 2.5460 0.0000 0.0000
Se 2.5460 2.5460 2.6831
Se 2.5460 2.5460 7.5793
```

Computed properties:
- uncorrected formation energy (meV per atom) = -1101

---

This record from the Alexandria database describes a relaxed structure of YIn2P2Pt7. The functional is PBE.

extended XYZ file:
```
12
Lattice="-1.9766 1.9766 15.0414 1.9766 -1.9766 15.0414 1.9766 1.9766 -15.0414" Properties=species:S:1:pos:R:3 pbc="T T T"
Y 0.0000 0.0000 0.0000
In 0.0000 0.0000 6.4089
In 0.0000 0.0000 23.6740
P 0.0000 0.0000 11.4986
P 0.0000 0.0000 18.5843
Pt 1.9766 0.0000 2.2247
Pt 0.0000 0.0000 9.2256
Pt 1.9766 0.0000 12.8167
Pt 0.0000 0.0000 15.0414
Pt 0.0000 1.9766 2.2247
Pt 0.0000 0.0000 20.8573
Pt 0.0000 1.9766 12.8167
```

Computed properties:
- DFT formation energy (meV per atom) = -648

---

This record from the Alexandria database describes a relaxed structure of AsSe3. The functional is PBE.

extended XYZ file:
```
8
Lattice="5.4715 0.0000 0.0000 0.0000 5.4715 0.0000 0.0000 0.0000 5.4715" Properties=species:S:1:pos:R:3 pbc="T T T"
As 0.0000 0.0000 0.0000
As 2.7358 2.7358 2.7358
Se 0.0000 1.3679 2.7358
Se 0.0000 4.1036 2.7358
Se 1.3679 2.7358 0.0000
Se 2.7358 0.0000 1.3679
Se 2.7358 0.0000 4.1036
Se 4.1036 2.7358 0.0000
```

Computed properties:
- uncorrected formation energy (meV per atom) = 585

---

This record from the Alexandria database describes a relaxed structure of SiP4Se. The functional is PBE.

extended XYZ file:
```
6
Lattice="0.0000 3.8978 3.8978 3.8978 0.0000 3.8978 3.8978 3.8978 0.0000" Properties=species:S:1:pos:R:3 pbc="T T T"
Si 0.0000 0.0000 0.0000
P 3.1058 3.1058 3.1058
P 4.6898 4.6898 3.1058
P 4.6898 3.1058 4.6898
P 3.1058 4.6898 4.6898
Se 5.8467 5.8467 5.8467
```

Computed properties:
- uncorrected formation energy (meV per atom) = 718

---

This record from the Alexandria database describes a relaxed structure of AgTeBr2. The functional is PBE.

extended XYZ file:
```
4
Lattice="1.7994 -3.4232 0.0000 1.7994 3.4232 0.0000 0.0000 0.0000 9.1767" Properties=species:S:1:pos:R:3 pbc="T T T"
Ag 0.0000 0.0000 0.0000
Te 0.0000 0.0000 4.5884
Br 1.7994 0.0000 1.9778
Br 1.7994 0.0000 7.1989
```

Computed properties:
- uncorrected formation energy (meV per atom) = 67

---

This record from the Alexandria database describes a relaxed structure of RbNa9Tl2. The functional is PBE.

extended XYZ file:
```
24
Lattice="-7.0255 7.0255 4.5508 7.0255 -7.0255 4.5508 7.0255 7.0255 -4.5508" Properties=species:S:1:pos:R:3 pbc="T T T"
Rb 7.0255 3.5127 1.1377
Rb 0.0000 3.5127 3.4131
Na 7.0255 -3.5127 3.4131
Na 5.3018 -0.7269 1.7604
Na 8.7491 -0.7269 1.7604
Na 2.7858 1.7891 0.5150
Na 11.2651 1.7891 0.5150
Na 5.3018 6.2985 -1.7604
Na 1.7236 -0.7269 2.7904
Na 2.7858 5.2364 0.5150
Na 4.2397 -1.7891 5.0658
Na 2.7858 8.8145 -0.5150
Na 4.2397 1.7891 4.0358
Na 5.3018 7.7524 1.7604
Na 1.7236 0.7269 6.3112
Na -4.2397 5.2364 4.0358
Na 4.2397 5.2364 4.0358
Na -1.7236 7.7524 2.7904
Na 1.7236 7.7524 2.7904
Na 0.0000 10.5382 1.1377
Tl 0.0000 0.0000 0.0000
Tl 3.5127 3.5127 -2.2754
Tl 3.5127 -3.5127 2.2754
Tl 0.0000 7.0255 0.0000
```

Computed properties:
- DFT formation energy (meV per atom) = -45

---

This record from the Alexandria database describes a relaxed structure of BaZrOs2Au. The functional is PBE.

extended XYZ file:
```
5
Lattice="4.9922 0.0000 0.0000 0.0000 4.9922 0.0000 0.0000 0.0000 5.3788" Properties=species:S:1:pos:R:3 pbc="T T T"
Ba 0.0000 0.0000 0.0000
Zr 2.4961 2.4961 2.6894
Os 0.0000 2.4961 0.0000
Os 2.4961 0.0000 0.0000
Au 0.0000 0.0000 2.6894
```

Computed properties:
- DFT formation energy (meV per atom) = 2620

---

This record from the Alexandria database describes a relaxed structure of TlTc8. The functional is PBE.

extended XYZ file:
```
9
Lattice="-4.1987 4.1987 1.9825 4.1987 -4.1987 1.9825 4.1987 4.1987 -1.9825" Properties=species:S:1:pos:R:3 pbc="T T T"
Tl 0.0000 0.0000 0.0000
Tc 2.9008 0.0000 0.0000
Tc 5.4965 0.0000 0.0000
Tc 2.6675 2.6675 0.0000
Tc 1.5311 -1.5311 1.9825
Tc 0.0000 2.9008 0.0000
Tc 0.0000 5.4965 0.0000
Tc -1.5311 1.5311 1.9825
Tc 1.5311 1.5311 1.9825
```

Computed properties:
- DFT formation energy (meV per atom) = 201

---

This record from the Alexandria database describes a relaxed structure of KZr2Sn2. The functional is PBE.

extended XYZ file:
```
10
Lattice="9.0629 0.0000 0.0000 0.0000 9.0629 0.0000 0.0000 0.0000 3.1778" Properties=species:S:1:pos:R:3 pbc="T T T"
K 0.0000 0.0000 0.0000
K 4.5315 4.5315 0.0000
Zr 1.0965 3.4349 0.0000
Zr 3.4349 7.9664 0.0000
Zr 5.6280 1.0965 0.0000
Zr 7.9664 5.6280 0.0000
Sn 1.5382 6.0696 1.5889
Sn 2.9933 1.5382 1.5889
Sn 6.0696 7.5248 1.5889
Sn 7.5248 2.9933 1.5889
```

Computed properties:
- DFT formation energy (meV per atom) = -230

---

- What is the formula in the second record?
  Ce5InSi2